No. 1
A plane-wave DFT calculation with PBE-GGA was carried out for an optimized crystal structure of Ti3GaFe.

POSCAR file:
```
Ti3GaFe
1.0
-0.528 4.499 -1.606
-4.022 -1.291 -2.294
-2.579 1.092 3.907
Fe Ga Ti
1 1 3
Direct
0.500 0.500 0.500
0.000 0.000 0.000
0.500 0.000 0.000
0.000 0.000 0.500
0.000 0.500 0.000
```

=====

No. 2
A plane-wave DFT calculation with PBE-GGA was carried out for an optimized crystal structure of Ti2GaFe.

POSCAR file:
```
Ti2GaFe
1.0
2.791 0.000 0.000
0.000 2.858 0.000
0.000 0.000 7.974
Ga Fe Ti
1 1 2
Direct
0.500 0.000 0.000
0.500 0.500 0.500
0.000 0.000 0.694
0.000 0.000 0.306
```

=====

No. 3
A plane-wave DFT calculation with PBE-GGA was carried out for an optimized crystal structure of Ti3GaFe2.

POSCAR file:
```
Ti3GaFe2
1.0
3.026 0.000 0.000
0.000 3.026 0.000
0.000 0.000 9.143
Ti Ga Fe
3 1 2
Direct
0.000 0.000 0.686
0.000 0.000 0.314
0.000 0.000 0.000
0.500 0.500 0.500
0.500 0.500 0.163
0.500 0.500 0.837
```

=====

No. 4
A plane-wave DFT calculation with PBE-GGA was carried out for an optimized crystal structure of Ti6Ga2Fe.

POSCAR file:
```
Ti6Ga2Fe
1.0
-2.958 -3.295 -0.121
3.756 -3.477 2.893
-2.772 5.325 4.023
Fe Ga Ti
1 2 6
Direct
0.000 0.000 0.000
0.677 0.676 0.353
0.323 0.324 0.647
0.852 0.101 0.705
0.852 0.604 0.705
0.148 0.899 0.295
0.500 0.759 0.000
0.148 0.396 0.295
0.500 0.241 0.000
```

=====

Listing DOS(E_F) for the structures above in their given order: 7.4; 4.3; 3.7; 11.6 states/eV per cell.
Listing total DFT energy (no corrections) for the structures above in their given order: -6.08; -6.95; -7.66; -6.86 eV/atom.
Listing magnetic moment for the structures above in their given order: 1.06; 0.00; 0.73; 0.00 μB/f.u..